! Zn2FeAg PBE optimized geometry; values from VASP
! theoretical density	8400	kg/m³
! E_form	0.13	eV/atom
! M_tot	4.2	μB per cell
&SYSTEM
  ibrav = 0, nat = 8, ntyp = 3
/
ATOMIC_SPECIES
Zn 65.41 Zn.upf
Fe 55.84 Fe.upf
Ag 107.87 Ag.upf
CELL_PARAMETERS angstrom
10.005 0.000 0.000
0.000 2.705 0.000
-1.904 0.000 4.302
ATOMIC_POSITIONS crystal
Zn 0.000 0.000 0.000
Zn 0.250 0.000 0.592
Zn 0.500 0.500 0.000
Zn 0.750 0.500 0.592
Fe 0.240 0.500 0.079
Fe 0.740 0.000 0.079
Ag 0.495 0.000 0.491
Ag 0.995 0.500 0.491